Record 1
LiTeI2 | PBEsol | optimized geometry

Properties
- Uncorrected formation energy: -0.237 eV per atom
- Symmetry: I-42d

a b c (Å): 6.8196 6.8196 6.8196
angles (deg): 107.69 107.69 113.10
Closest atoms and distances in Å follow each position.
Element x y z (fractional)
I  0.8336  0.8750  0.4586  2 Li 2.78
I  0.4164  0.3750  0.5414  2 Li 2.78
Li  0.5000  0.5000  0.0000  4 I 2.78
Li  0.7500  0.2500  0.5000  4 I 2.78
Te  0.2500  0.7500  0.5000  4 I 3.23
I  0.6250  0.1664  0.0414  2 Li 2.78
I  0.1250  0.5836  0.9586  2 Li 2.78
Te  0.0000  0.0000  0.0000  4 I 3.23

=====

Record 2
La2TcSb | PBEsol | optimized geometry

Properties
- Uncorrected formation energy: -0.225 eV per atom
- Symmetry: P2/m

a b c (Å): 3.9243 4.1758 6.2521
angles (deg): 90.00 98.79 90.00
Closest atoms and distances in Å follow each position.
Element x y z (fractional)
La  0.1075  0.0000  0.2675  2 Tc 2.86, 1 La 3.15
Sb  0.5000  0.5000  0.0000  2 Tc 3.13, 8 La 3.21-3.41
Tc  0.5000  0.5000  0.5000  4 La 2.86, 2 Sb 3.13
La  0.8925  0.0000  0.7325  2 Tc 2.86, 1 La 3.15

=====

Record 3
YSe2 | PBEsol | optimized geometry

Properties
- Uncorrected formation energy: -1.541 eV per atom
- Symmetry: C2/m

a b c (Å): 3.8246 5.3169 7.6243
angles (deg): 79.01 75.47 68.92
Closest atoms and distances in Å follow each position.
Element x y z (fractional)
Se  0.8687  0.7371  0.5254  1 Se 2.42
Y  0.8293  0.1436  0.1979  8 Se 2.86-3.01
Y  0.1707  0.8564  0.8021  8 Se 2.86-3.01
Se  0.1313  0.2629  0.4746  1 Se 2.42
Se  0.4169  0.2797  0.8864  5 Y 2.86-3.01, 1 Se 3.08
Se  0.5831  0.7203  0.1136  5 Y 2.86-3.01, 1 Se 3.08

=====

Record 4
LiTeN2 | PBEsol | optimized geometry

Properties
- Uncorrected formation energy: 0.996 eV per atom
- Symmetry: R-3m

a b c (Å): 3.4703 3.4703 5.7821
angles (deg): 72.54 72.54 60.00
Closest atoms and distances in Å follow each position.
Element x y z (fractional)
Te  0.0000  0.0000  0.0000  2 N 1.95
Li  0.5000  0.5000  0.5000  6 N 2.14
N  0.8801  0.8801  0.3598  1 Te 1.95, 3 Li 2.14
N  0.1199  0.1199  0.6402  1 Te 1.95, 3 Li 2.14

=====

Q: uncorrected formation energy of number 3 (YSe2)?
A: -1.541 eV per atom